1.
The following is a PBE-GGA calculation of a relaxed structure of TiP2O, from the Alexandria database.

Calculated values
The calculation puts the density of states at the Fermi level at 0.3330 states/eV per atom. The value obtained for the formation energy without anion corrections is -10 kJ per mole of atoms. The space group is I-42d (122).

```
8
Lattice="-2.872 2.872 3.412 2.872 -2.872 3.412 2.872 2.872 -3.412" Properties=species:S:1:pos:R:3 pbc="T T T"
Ti 0.000 0.000 0.000
Ti 0.000 2.872 1.706
P 1.436 -1.034 2.559
P 1.838 1.436 0.853
P 1.436 3.906 -0.853
P 1.034 1.436 4.264
O 2.872 0.000 1.706
O 0.000 0.000 3.412
```



2.
The following is a PBE-GGA calculation of a relaxed structure of Ac8GePd3Br4, from the Alexandria database.

Calculated values
The calculation puts the density of states at the Fermi level at 0.8779 states/eV per atom. The value obtained for the formation energy without anion corrections is -102 kJ per mole of atoms. The space group is R-3m (166).

```
16
Lattice="4.506 2.602 8.012 -4.506 2.602 8.012 0.000 -5.203 8.012" Properties=species:S:1:pos:R:3 pbc="T T T"
Ac -2.302 -1.329 13.672
Ac 0.000 0.000 5.625
Ac 0.000 -2.658 10.364
Ac -2.302 1.329 10.364
Ac 2.302 -1.329 13.672
Ac 0.000 2.658 13.672
Ac 0.000 0.000 18.410
Ac 2.302 1.329 10.364
Ge 0.000 0.000 12.018
Pd -4.506 0.000 12.018
Pd -2.253 1.301 4.006
Pd 2.253 1.301 4.006
Br 0.000 0.000 0.000
Br -2.253 -1.301 8.012
Br -2.253 1.301 16.024
Br 0.000 2.602 8.012
```



3.
The following is a PBE-GGA calculation of a relaxed structure of NaCdGaPb, from the Alexandria database.

Calculated values
The calculation puts the density of states at the Fermi level at 0.4427 states/eV per atom. The space group is F-43m (216). The formation energy comes out at -0.0203 eV per atom.

```
4
Lattice="0.000 3.672 3.672 3.672 0.000 3.672 3.672 3.672 0.000" Properties=species:S:1:pos:R:3 pbc="T T T"
Na 0.000 0.000 0.000
Cd 3.672 3.672 3.672
Ga 1.836 1.836 1.836
Pb 5.508 5.508 5.508
```



4.
The following is a PBE-GGA calculation of a relaxed structure of AcURhO6, from the Alexandria database.

Calculated values
The value obtained for the formation energy without anion corrections is -251 kJ per mole of atoms. The space group is P-31c (163).

```
18
Lattice="5.355 0.000 0.000 -2.677 4.637 0.000 0.000 0.000 11.284" Properties=species:S:1:pos:R:3 pbc="T T T"
Ac 0.000 0.000 0.000
Ac 0.000 0.000 5.642
U 0.000 3.092 2.821
U 2.677 1.546 8.463
Rh 0.000 3.092 8.463
Rh 2.677 1.546 2.821
O -0.937 1.675 7.277
O -1.695 2.989 9.650
O 0.937 1.675 9.650
O -0.758 4.611 7.277
O 1.919 0.026 1.635
O 0.982 1.649 4.008
O 1.695 2.989 7.277
O 0.758 4.611 9.650
O 3.436 0.026 4.008
O 1.741 2.963 1.635
O 4.373 1.649 1.635
O 3.614 2.963 4.008
```



5.
The following is a PBE-GGA calculation of a relaxed structure of TbAl3ZnPd, from the Alexandria database.

Calculated values
The calculation puts the density of states at the Fermi level at 0.4704 states/eV per atom. The space group is Cmcm (63). The formation energy comes out at -0.3000 eV per atom.

```
12
Lattice="3.172 -6.157 0.000 3.172 6.157 0.000 0.000 0.000 5.855" Properties=species:S:1:pos:R:3 pbc="T T T"
Tb 3.172 3.647 4.392
Tb 3.172 -3.647 1.464
Al 1.308 0.000 0.000
Al 1.308 0.000 2.928
Al 3.172 1.814 1.464
Al 3.172 -1.814 4.392
Al 5.037 0.000 0.000
Al 5.037 0.000 2.928
Zn 3.172 0.920 4.392
Zn 3.172 -0.920 1.464
Pd 3.172 4.411 1.464
Pd 3.172 -4.411 4.392
```



6.
The following is a PBE-GGA calculation of a relaxed structure of DyYPt2, from the Alexandria database.

Calculated values
The calculation puts the density of states at the Fermi level at 0.7394 states/eV per atom. The space group is Amm2 (38). The formation energy comes out at -1.2706 eV per atom. For the offset from the most stable computed form, the calculation gives 0.0 kJ/mol of atoms.

```
4
Lattice="4.456 0.000 0.000 0.000 1.898 5.291 0.000 -1.898 5.291" Properties=species:S:1:pos:R:3 pbc="T T T"
Dy 0.000 0.000 0.000
Y 2.228 0.000 7.650
Pt 0.000 0.000 2.907
Pt 2.228 0.000 4.756
```



7.
The following is a PBE-GGA calculation of a relaxed structure of DyTlAg2Br6, from the Alexandria database.

Calculated values
The calculation puts the density of states at the Fermi level at 0.0000 states/eV per atom. The value obtained for the formation energy without anion corrections is -100 kJ per mole of atoms. The space group is P1 (1).

```
10
Lattice="7.417 0.000 0.000 -3.707 6.431 0.000 -3.705 -2.143 6.830" Properties=species:S:1:pos:R:3 pbc="T T T"
Dy 0.000 0.000 0.000
Tl -3.707 2.142 3.801
Ag 0.002 4.289 2.984
Ag 0.000 0.004 6.783
Br -5.266 4.698 5.047
Br -2.466 4.350 1.467
Br 1.182 2.115 1.468
Br -0.716 2.225 5.050
Br 2.282 -0.486 5.054
Br 4.997 -0.034 1.470
```



8.
The following is a PBE-GGA calculation of a relaxed structure of Nd3Sb, from the Alexandria database.

Calculated values
The calculation puts the density of states at the Fermi level at 1.6172 states/eV per atom. The value obtained for the formation energy without anion corrections is -27 kJ per mole of atoms. The space group is I4/mmm (139). For the offset from the most stable computed form, the calculation gives 32.8 kJ/mol of atoms.

```
4
Lattice="-2.163 2.163 8.335 2.163 -2.163 8.335 2.163 2.163 -8.335" Properties=species:S:1:pos:R:3 pbc="T T T"
Nd 0.000 0.000 0.000
Nd 0.000 0.000 5.232
Nd 0.000 0.000 11.438
Sb 0.000 0.000 8.335
```



9.
The following is a PBE-GGA calculation of a relaxed structure of GaTe2HRh, from the Alexandria database.

Calculated values
The calculation puts the density of states at the Fermi level at 1.0143 states/eV per atom. The value obtained for the total energy is -17.3 eV/cell. The space group is P4/mmm (123).

```
5
Lattice="5.267 0.000 0.000 0.000 5.267 0.000 0.000 0.000 4.799" Properties=species:S:1:pos:R:3 pbc="T T T"
Ga 0.000 0.000 0.000
Te 0.000 2.633 2.399
Te 2.633 0.000 2.399
H 2.633 2.633 0.000
Rh 0.000 0.000 2.399
```



10.
The following is a PBE-GGA calculation of a relaxed structure of BaSr6Li5, from the Alexandria database.

Calculated values
The calculation puts the density of states at the Fermi level at 0.8977 states/eV per atom. The space group is P2/m (10). The formation energy comes out at 0.0603 eV per atom.

```
12
Lattice="6.075 0.000 0.000 0.000 8.946 0.000 -2.990 0.000 9.181" Properties=species:S:1:pos:R:3 pbc="T T T"
Ba 0.000 0.000 0.000
Sr 0.019 2.354 3.197
Sr 0.019 6.592 3.197
Sr 3.038 2.462 0.000
Sr 3.038 6.484 0.000
Sr 3.065 2.354 5.984
Sr 3.065 6.592 5.984
Li 0.000 4.473 0.000
Li 0.026 4.473 6.132
Li 0.025 0.000 6.290
Li 3.060 0.000 2.890
Li 3.059 4.473 3.048
```



11.
The following is a PBE-GGA calculation of a relaxed structure of SiGe2BiOs, from the Alexandria database.

Calculated values
The calculation puts the density of states at the Fermi level at 0.9396 states/eV per atom. The value obtained for the formation energy without anion corrections is 82 kJ per mole of atoms. The space group is P4/mmm (123).

```
5
Lattice="4.867 0.000 0.000 0.000 4.867 0.000 0.000 0.000 4.576" Properties=species:S:1:pos:R:3 pbc="T T T"
Si 0.000 0.000 0.000
Ge 0.000 2.434 0.000
Ge 2.434 0.000 0.000
Bi 2.434 2.434 2.288
Os 0.000 0.000 2.288
```



12.
The following is a PBE-GGA calculation of a relaxed structure of RbPuS, from the Alexandria database.

Calculated values
The calculation puts the density of states at the Fermi level at 3.5142 states/eV per atom. The value obtained for the formation energy without anion corrections is -74 kJ per mole of atoms. The space group is Pnma (62).

```
12
Lattice="7.328 0.000 0.000 0.000 3.748 0.000 0.000 0.000 16.530" Properties=species:S:1:pos:R:3 pbc="T T T"
Rb 1.829 0.937 1.193
Rb 1.835 2.811 9.459
Rb 5.493 0.937 7.072
Rb 5.499 2.811 15.337
Pu 1.823 0.937 5.029
Pu 1.841 2.811 13.294
Pu 5.487 0.937 3.236
Pu 5.505 2.811 11.501
S 0.012 0.937 12.392
S 3.652 2.811 4.127
S 3.676 0.937 12.404
S 7.316 2.811 4.139
```